# 1
An optimized crystal structure of K2TcClF6, computed with PBE.

a b c (Å): 5.3964 6.0252 7.2543
angles (deg): 68.14 70.07 72.05
Positions (direct):
K 0.1806 0.3194 0.2970
K 0.8194 0.6806 0.7030
Tc 0.0000 0.0000 0.0000
Cl 0.5000 0.5000 0.5000
F 0.0319 0.0616 0.7115
F 0.1452 0.2801 0.9348
F 0.3503 0.7894 0.9723
F 0.6497 0.2106 0.0277
F 0.8548 0.7199 0.0652
F 0.9681 0.9384 0.2885

Results
Formation energy (no corrections) in kJ per mole of atoms: -215.9
Theoretical density in g cm⁻³: 2.69
Total magnetization in μB/f.u.: 1.999
Space group: P-1 (2)

***

# 2
An optimized crystal structure of K2TcCl2F4, computed with PBE.

a b c (Å): 6.6746 6.6746 5.1458
angles (deg): 93.04 93.04 54.22
Positions (direct):
K 0.1355 0.1355 0.1613
K 0.8645 0.8645 0.8387
Tc 0.5000 0.5000 0.5000
Cl 0.3178 0.3178 0.6720
Cl 0.6822 0.6822 0.3280
F 0.2129 0.6860 0.2589
F 0.3140 0.7871 0.7411
F 0.6860 0.2129 0.2589
F 0.7871 0.3140 0.7411

Results
Formation energy (no corrections) in kJ per mole of atoms: -204.8
Theoretical density in g cm⁻³: 2.89
Total magnetization in μB/f.u.: 3.000
Space group: C2/m (12)

***

# 3
An optimized crystal structure of K2TcCl5F, computed with PBE.

a b c (Å): 6.9642 6.9642 6.9642
angles (deg): 118.89 118.89 91.93
Positions (direct):
K 0.0000 0.5000 0.5000
K 0.5000 0.0000 0.5000
Tc 0.2504 0.2504 0.0000
Cl 0.0114 0.0114 0.5251
Cl 0.0114 0.4863 0.0000
Cl 0.4863 0.0114 0.0000
Cl 0.4863 0.4863 0.4749
Cl 0.4936 0.4936 0.0000
F 0.0473 0.0473 0.0000

Results
Formation energy (no corrections) in kJ per mole of atoms: -146.6
Theoretical density in g cm⁻³: 2.55
Total magnetization in μB/f.u.: 3.000
Space group: I4mm (107)